Entry from Alexandria: a relaxed structure of TcAg2Br (GGA-PBEsol).

Structure (CIF):
```
data_TcAg2Br
_chemical_formula_sum 'Tc1 Ag2 Br1'
_cell_length_a 4.276
_cell_length_b 4.276
_cell_length_c 4.933
_cell_angle_alpha 115.68
_cell_angle_beta 115.68
_cell_angle_gamma 90.00
_space_group_name_H-M_alt 'P 1'
_space_group_IT_number 1
loop_
_space_group_symop_operation_xyz
'x,y,z'
loop_
_atom_site_label
_atom_site_type_symbol
_atom_site_fract_x
_atom_site_fract_y
_atom_site_fract_z
Br1 Br 0.500 0.500 0.000
Tc1 Tc 0.250 0.750 0.500
Ag1 Ag 0.000 0.000 0.000
Ag2 Ag 0.750 0.250 0.500
```

* uncorrected formation energy: 0.878 eV/atom

---

Entry from Alexandria: a relaxed structure of RbFe2Au (GGA-PBEsol).

Structure (CIF):
```
data_RbFe2Au
_chemical_formula_sum 'Rb1 Fe2 Au1'
_cell_length_a 4.650
_cell_length_b 4.650
_cell_length_c 4.650
_cell_angle_alpha 60.00
_cell_angle_beta 60.00
_cell_angle_gamma 60.00
_space_group_name_H-M_alt 'P 1'
_space_group_IT_number 1
loop_
_space_group_symop_operation_xyz
'x,y,z'
loop_
_atom_site_label
_atom_site_type_symbol
_atom_site_fract_x
_atom_site_fract_y
_atom_site_fract_z
Au1 Au 0.500 0.500 0.500
Fe1 Fe 0.250 0.250 0.250
Fe2 Fe 0.750 0.750 0.750
Rb1 Rb 0.000 0.000 0.000
```

* energy of formation: 1245.1 meV per atom